The following is a PBE calculation of a relaxed TeMo2S crystal, from Alexandria via LeMat-Bulk.

Summary:
The calculation puts the density of states at the Fermi level at 2.9 states/eV/cell. The formation energy (no corrections) is 230 meV per atom. The symmetry is I-42d (122).

a b c (Å): 4.618 4.618 8.379
angles (deg): 74.00 74.00 90.00
Fractional positions:
Mo: 0.209 0.625 0.250
S: 0.500 0.500 0.000
Te: 0.000 0.000 0.000
Mo: 0.375 0.459 0.750
S: 0.250 0.750 0.500
Te: 0.750 0.250 0.500
Mo: 0.541 0.125 0.250
Mo: 0.875 0.791 0.750